4
Lattice="-0.762 -5.582 -0.461 3.805 -3.155 -2.743 3.325 -3.554 2.876" Properties=species:S:1:pos:R:3 comment="GdYLuTh, optimized geometry, DFT PBE" magmom_total_mub_per_fu=8.0 space_group="F-43m (216)" energy_ev_per_atom=-7.981 pbc="T T T"
Gd 3.184 -6.146 -0.164
Y 4.776 -9.219 -0.246
Lu 0.000 0.000 0.000
Th 1.592 -3.073 -0.082